Entry 1:
A relaxed HoTmIn2 crystal, computed with PBE-GGA.

## Properties
Formation enthalpy at 0 K: -0.4381 eV per atom
SG: Fm-3m

a = 5.2804 Å, b = 5.2804 Å, c = 5.2804 Å
α = 60.00°, β = 60.00°, γ = 60.00°
Atoms (fractional coordinates):
In  0.5000  0.5000  0.5000
In  0.0000  0.0000  0.0000
Tm  0.7500  0.7500  0.7500
Ho  0.2500  0.2500  0.2500

***

Entry 2:
A relaxed PmNdGa6 crystal, computed with PBE-GGA.

## Properties
Formation enthalpy at 0 K: -0.5761 eV per atom
SG: P-6m2

a = 4.6039 Å, b = 6.4375 Å, c = 6.4375 Å
α = 119.99°, β = 90.00°, γ = 90.00°
Atoms (fractional coordinates):
Ga  0.0000  0.0359  0.3930
Ga  0.0000  0.6069  0.3931
Ga  0.5000  0.4628  0.1065
Ga  0.5000  0.8936  0.1064
Ga  0.0000  0.6070  0.9641
Ga  0.5000  0.8935  0.5372
Nd  0.5000  0.4166  0.5834
Pm  0.0000  0.0833  0.9167

***

Entry 3:
A relaxed Ta2BeCl crystal, computed with PBE-GGA.

## Properties
Uncorrected formation energy: 398 meV/atom
SG: Cmmm
Distance to the lowest polymorph of the same formula: 1.19 eV/f.u.

a = 2.8775 Å, b = 2.8775 Å, c = 8.5898 Å
α = 90.00°, β = 90.00°, γ = 115.50°
Atoms (fractional coordinates):
Ta  0.0000  0.0000  0.4880
Ta  0.0000  0.0000  0.0120
Be  0.5000  0.5000  0.2500
Cl  0.5000  0.5000  0.7500

***

Entry 4:
A relaxed HfV2Re crystal, computed with PBE-GGA.

## Properties
Formation enthalpy at 0 K: 0.4487 eV per atom
SG: I-42d
Distance to the lowest polymorph of the same formula: 2.26 eV/f.u.

a = 7.1029 Å, b = 7.1029 Å, c = 5.7135 Å
α = 51.57°, β = 51.57°, γ = 90.00°
Atoms (fractional coordinates):
Re  0.0000  0.0000  0.0000
Re  0.7500  0.2500  0.5000
V  0.6612  0.1250  0.2500
V  0.0888  0.6250  0.2500
V  0.8750  0.9112  0.7500
V  0.3750  0.3388  0.7500
Hf  0.2500  0.7500  0.5000
Hf  0.5000  0.5000  0.0000

***

Entry 5:
A relaxed Y6Tl3In crystal, computed with PBE-GGA.

## Properties
Formation enthalpy at 0 K: -0.3233 eV per atom
SG: P2_1/m

a = 5.2277 Å, b = 9.7614 Å, c = 11.4981 Å
α = 104.37°, β = 90.00°, γ = 90.00°
Last column: magnetic moment on the atom in μB.
Atoms (fractional coordinates):
Y  0.7500  0.3521  0.3198  0.09
Y  0.7500  0.1616  0.6893  0.14
Y  0.7500  0.8942  0.1119  0.14
Y  0.7500  0.7604  0.4937  0.10
Y  0.7500  0.8693  0.8121  0.25
Y  0.7500  0.5468  0.9073  0.06
Y  0.2500  0.8384  0.3107  0.14
Y  0.2500  0.2396  0.5063  0.10
Y  0.2500  0.4532  0.0927  0.06
Y  0.2500  0.6479  0.6802  0.09
Y  0.2500  0.1307  0.1879  0.25
Y  0.2500  0.1058  0.8881  0.14
Tl  0.7500  0.6232  0.2064  0.01
Tl  0.2500  0.7833  0.9686  -0.01
Tl  0.7500  0.4695  0.6097  0.00
Tl  0.7500  0.2167  0.0314  -0.01
Tl  0.2500  0.5305  0.3903  0.00
Tl  0.2500  0.3768  0.7936  0.01
In  0.7500  0.0568  0.3827  -0.01
In  0.2500  0.9432  0.6173  -0.01

***

Entry 6:
A relaxed Li6NiAg crystal, computed with PBE-GGA.

## Properties
Formation enthalpy at 0 K: -0.0072 eV per atom
SG: P-1

a = 7.1305 Å, b = 7.1224 Å, c = 4.9872 Å
α = 44.45°, β = 44.34°, γ = 59.75°
Atoms (fractional coordinates):
Li  0.2438  0.9991  0.2584
Li  0.0013  0.5005  0.7420
Li  0.4996  0.7564  0.7429
Li  0.7562  0.0009  0.7416
Li  0.9987  0.4995  0.2580
Li  0.5004  0.2436  0.2571
Ag  0.5000  0.5000  0.5000
Ni  0.0000  0.0000  0.0000

***

Entry 7:
A relaxed Ti7Te12P crystal, computed with PBE-GGA.

## Properties
Uncorrected formation energy: -640 meV/atom
SG: R-3

a = 8.6035 Å, b = 8.6035 Å, c = 8.6035 Å
α = 107.85°, β = 107.85°, γ = 107.85°
Atoms (fractional coordinates):
Ti  0.9706  0.6896  0.8916
Ti  0.3104  0.1084  0.0294
Ti  0.5000  0.5000  0.5000
Ti  0.8916  0.9706  0.6896
Ti  0.0294  0.3104  0.1084
Ti  0.1084  0.0294  0.3104
Ti  0.6896  0.8916  0.9706
Te  0.4731  0.1519  0.3825
Te  0.0802  0.6853  0.2274
Te  0.1519  0.3825  0.4731
Te  0.2274  0.0802  0.6853
Te  0.8481  0.6175  0.5269
Te  0.3825  0.4731  0.1519
Te  0.3147  0.7726  0.9198
Te  0.6853  0.2274  0.0802
Te  0.9198  0.3147  0.7726
Te  0.7726  0.9198  0.3147
Te  0.6175  0.5269  0.8481
Te  0.5269  0.8481  0.6175
P  0.0000  0.0000  0.0000

***

Entry 8:
A relaxed Ho3Te2S crystal, computed with PBE-GGA.

## Properties
Uncorrected formation energy: -1469 meV/atom
SG: Immm
Distance to the lowest polymorph of the same formula: 0.13 eV/f.u.

a = 5.8758 Å, b = 8.1880 Å, c = 7.4437 Å
α = 105.96°, β = 113.25°, γ = 90.00°
Atoms (fractional coordinates):
Ho  0.8665  0.9331  0.7328
Ho  0.1335  0.0669  0.2672
Ho  0.4998  0.2500  0.0000
Ho  0.5002  0.7500  0.0000
Ho  0.1337  0.5669  0.2672
Ho  0.8663  0.4331  0.7328
S  0.9998  0.2500  0.0000
S  0.0002  0.7500  0.0000
Te  0.3213  0.9107  0.6426
Te  0.6787  0.0893  0.3574
Te  0.6787  0.5893  0.3574
Te  0.3213  0.4107  0.6426